(1)
Compound: Ba2DyAg2Se4
Source: Alexandria via LeMat-Bulk
Functional: PBE-GGA
Structure: optimized geometry Values from VASP.

formation energy without anion corrections	-1.302	eV per atom

Cell and atoms, written as Quantum ESPRESSO input:
```
&SYSTEM
  ibrav = 0, nat = 9, ntyp = 4
/
ATOMIC_SPECIES
Se 78.96 Se.upf
Ag 107.87 Ag.upf
Ba 137.33 Ba.upf
Dy 162.50 Dy.upf
ATOMIC_POSITIONS angstrom
Se 2.0919 4.1180 4.5724
Ag 2.0919 -1.1851 2.8022
Se 0.0000 -1.1725 7.2378
Ag 0.0000 5.9500 4.5904
Ba 0.0000 3.8085 1.9881
Se 0.0000 0.6469 2.8201
Se 2.0919 5.9374 0.1547
Dy 0.0000 0.0000 0.0000
Ba 2.0919 0.9564 5.4045
CELL_PARAMETERS angstrom
4.1837 0.0000 0.0000
0.0000 8.0124 -0.0889
-2.0919 -3.2475 7.4814
```

(2)
Compound: BaDyAgSn
Source: Alexandria via LeMat-Bulk
Functional: PBE-GGA
Structure: optimized geometry Values from VASP.

E_form	-0.371	eV per atom

Cell and atoms, written as Quantum ESPRESSO input:
```
&SYSTEM
  ibrav = 0, nat = 4, ntyp = 4
/
ATOMIC_SPECIES
Ag 107.87 Ag.upf
Dy 162.50 Dy.upf
Ba 137.33 Ba.upf
Sn 118.71 Sn.upf
ATOMIC_POSITIONS angstrom
Ag -5.7948 -7.7235 -3.4496
Dy -3.8632 -5.1490 -2.2998
Ba 0.0000 0.0000 0.0000
Sn -1.9316 -2.5745 -1.1499
CELL_PARAMETERS angstrom
-2.7578 -2.0076 -4.4175
-0.1875 -5.5038 -0.9075
-4.7811 -2.7866 0.7255
```

(3)
Compound: Ba2DyAgTe4
Source: Alexandria via LeMat-Bulk
Functional: PBE-GGA
Structure: optimized geometry Values from VASP.

formation energy without anion corrections	-1.246	eV per atom

Cell and atoms, written as Quantum ESPRESSO input:
```
&SYSTEM
  ibrav = 0, nat = 8, ntyp = 4
/
ATOMIC_SPECIES
Ba 137.33 Ba.upf
Te 127.60 Te.upf
Ag 107.87 Ag.upf
Dy 162.50 Dy.upf
ATOMIC_POSITIONS angstrom
Ba -1.2998 0.2982 4.5414
Te 1.5244 -5.1088 8.2608
Ag -2.2192 -3.5381 2.0739
Dy 1.0042 -3.6313 5.5385
Te -1.6808 -5.1160 4.9093
Ba 1.9237 0.2050 8.0059
Te -4.0392 -1.7624 3.8929
Te -0.8340 -1.7551 7.2445
CELL_PARAMETERS angstrom
-4.5232 0.3915 1.0768
0.0848 -7.4677 3.0710
1.9237 0.2050 8.0059
```

(4)
Compound: BaDy2AgTe4
Source: Alexandria via LeMat-Bulk
Functional: PBE-GGA
Structure: optimized geometry Values from VASP.

formation energy without anion corrections	-1.216	eV per atom

Cell and atoms, written as Quantum ESPRESSO input:
```
&SYSTEM
  ibrav = 0, nat = 16, ntyp = 4
/
ATOMIC_SPECIES
Te 127.60 Te.upf
Ba 137.33 Ba.upf
Dy 162.50 Dy.upf
Ag 107.87 Ag.upf
ATOMIC_POSITIONS angstrom
Te -3.8120 0.6549 -1.9129
Te -9.6569 -1.6863 3.1858
Te 0.0000 0.0000 0.0000
Te -3.6831 0.0415 2.6500
Ba -6.7968 1.8617 -0.5615
Te -12.9449 -3.9098 5.1135
Te -13.0738 -3.2965 0.5506
Te -7.1001 -1.5687 0.0148
Ba -9.9602 -5.1167 3.7621
Te -5.7840 -3.9115 3.3910
Dy -2.3011 1.9563 0.5822
Dy -14.4559 -5.2113 2.6184
Ag -4.3154 -1.1237 0.2275
Ag -12.4416 -2.1312 2.9731
Dy -6.6199 -0.9644 3.1142
Dy -10.1371 -2.2906 0.0864
CELL_PARAMETERS angstrom
-0.7723 3.5211 2.7444
-4.4166 1.0469 -6.3258
-11.5681 -7.8231 6.7820
```